First-principles (PBE) data for crystalline TaPSe4 at its relaxed geometry, as listed in OQMD.

Lattice parameters (Å, degrees): 10.4377 10.4377 6.2756 90.00 90.00 161.02
Sites, in units of the cell vectors:
P 0.0000 0.0000 0.9409
Se 0.9200 0.0800 0.2616
Se 0.4208 0.5792 0.7441
Se 0.5792 0.4208 0.7441
Se 0.0800 0.9200 0.2616
Ta 0.5000 0.5000 0.4295

Its excess energy over the best structure of this formula in the dataset is 0.0262 eV per atom. As for the symmetry: Cmm2. The calculation puts the total energy at -5.421 eV per atom. The total magnetic moment is 0.00 μB/f.u.